[1]
# TeRuSe2 | Alexandria | PBE | optimized geometry
data_TeRuSe2
_chemical_formula_sum 'Te1 Ru1 Se2'
_cell_length_a 4.785
_cell_length_b 4.785
_cell_length_c 3.357
_cell_angle_alpha 90.00
_cell_angle_beta 90.00
_cell_angle_gamma 90.00
_symmetry_space_group_name_H-M 'P 4/m m m'
_symmetry_Int_Tables_number 123
_symmetry_space_group_name_Hall '-P 4 2'
loop_
_atom_site_label
_atom_site_type_symbol
_atom_site_fract_x
_atom_site_fract_y
_atom_site_fract_z
_atom_site_occupancy
Te1 Te 0.000 0.000 0.000 1
Ru1 Ru 0.500 0.500 0.000 1
Se1 Se 0.000 0.500 0.500 1
# DOS(E_F), states/eV per atom: 0.8589
# Electronic total energy, hartree per atom: -0.156

[2]
# DyHo3 | Alexandria | PBE | optimized geometry
data_DyHo3
_chemical_formula_sum 'Dy1 Ho3'
_cell_length_a 4.980
_cell_length_b 4.980
_cell_length_c 4.980
_cell_angle_alpha 90.00
_cell_angle_beta 90.00
_cell_angle_gamma 90.00
_symmetry_space_group_name_H-M 'P m -3 m'
_symmetry_Int_Tables_number 221
_symmetry_space_group_name_Hall '-P 4 2 3'
loop_
_atom_site_label
_atom_site_type_symbol
_atom_site_fract_x
_atom_site_fract_y
_atom_site_fract_z
_atom_site_occupancy
Dy1 Dy 0.000 0.000 0.000 1
Ho1 Ho 0.000 0.500 0.500 1
# DOS(E_F), states/eV per atom: 1.4457
# Electronic total energy, hartree per atom: -0.168
# ΔH_f (0 K), meV/atom: 22
# Polymorph energy (0 for the lowest one), kJ/mol of atoms: 1.74

[3]
# ZnAsPb2Se | Alexandria | PBE | optimized geometry
data_ZnAsPb2Se
_chemical_formula_sum 'Zn1 As1 Pb2 Se1'
_cell_length_a 5.629
_cell_length_b 5.629
_cell_length_c 5.206
_cell_angle_alpha 90.00
_cell_angle_beta 90.00
_cell_angle_gamma 90.00
_symmetry_space_group_name_H-M 'P 4/m m m'
_symmetry_Int_Tables_number 123
_symmetry_space_group_name_Hall '-P 4 2'
loop_
_atom_site_label
_atom_site_type_symbol
_atom_site_fract_x
_atom_site_fract_y
_atom_site_fract_z
_atom_site_occupancy
Zn1 Zn 0.000 0.000 0.000 1
As1 As 0.500 0.500 0.500 1
Pb1 Pb 0.000 0.500 0.500 1
Se1 Se 0.500 0.500 0.000 1
# DOS(E_F), states/eV per atom: 0.5655
# Electronic total energy, hartree per atom: -0.108

[4]
# Y4MgTe | Alexandria | PBE | optimized geometry
data_Y4MgTe
_chemical_formula_sum 'Y16 Mg4 Te4'
_cell_length_a 9.115
_cell_length_b 9.115
_cell_length_c 9.115
_cell_angle_alpha 90.00
_cell_angle_beta 90.00
_cell_angle_gamma 90.00
_symmetry_space_group_name_H-M 'F -4 3 m'
_symmetry_Int_Tables_number 216
_symmetry_space_group_name_Hall 'F -4 2 3'
loop_
_atom_site_label
_atom_site_type_symbol
_atom_site_fract_x
_atom_site_fract_y
_atom_site_fract_z
_atom_site_occupancy
Y1 Y 0.124 0.124 0.124 1
Mg1 Mg 0.250 0.250 0.750 1
Te1 Te 0.000 0.000 0.500 1
# DOS(E_F), states/eV per atom: 1.6274
# Electronic total energy, hartree per atom: -0.181